Run 1
GGA-PBE LiTi3Co, optimized geometry; space group = Pm-3m; DOS at the Fermi energy = 7.8 states/eV/cell
1.0
4.562 0.000 0.000
0.000 4.562 0.000
0.000 0.000 4.562
Li Ti Co
1 3 1
Direct
0.000 0.000 0.000
0.000 0.500 0.500
0.500 0.000 0.500
0.500 0.500 0.000
0.500 0.500 0.500

***

Run 2
GGA-PBE LiTi3Co, optimized geometry; space group = Pm-3m; DOS at the Fermi energy = 9.6 states/eV/cell
1.0
4.258 0.000 0.000
0.000 4.258 0.000
0.000 0.000 4.258
Li Ti Co
1 3 1
Direct
0.000 0.000 0.000
0.000 0.000 0.500
0.000 0.500 0.000
0.500 0.000 0.000
0.500 0.500 0.500

***

run 1 (712 meV/atom below the next structure)

***

Run 1
GGA-PBE Li2Tl2Co, optimized geometry; space group = P4/mbm; DOS at the Fermi energy = 11.1 states/eV/cell
1.0
7.131 0.000 0.000
0.000 7.131 0.000
0.000 0.000 3.818
Li Tl Co
4 4 2
Direct
0.151 0.349 0.000
0.349 0.849 0.000
0.651 0.151 0.000
0.849 0.651 0.000
0.159 0.659 0.500
0.341 0.159 0.500
0.659 0.841 0.500
0.841 0.341 0.500
0.000 0.000 0.500
0.500 0.500 0.500

***

Run 2
GGA-PBE Li2Tl2Co, optimized geometry; space group = P4/mbm; DOS at the Fermi energy = 10.2 states/eV/cell
1.0
7.233 0.000 0.000
0.000 7.233 0.000
0.000 0.000 3.421
Li Tl Co
4 4 2
Direct
0.132 0.368 0.000
0.368 0.868 0.000
0.632 0.132 0.000
0.868 0.632 0.000
0.171 0.671 0.500
0.329 0.171 0.500
0.671 0.829 0.500
0.829 0.329 0.500
0.000 0.000 0.000
0.500 0.500 0.000

***

run 1 (57 meV/atom below the next structure)

***

Run 1
GGA-PBE LiTlCo, optimized geometry; space group = P3m1; DOS at the Fermi energy = 1.7 states/eV/cell
1.0
4.398 0.000 0.000
-2.199 3.809 0.000
0.000 0.000 2.855
Li Tl Co
1 1 1
Direct
0.000 0.000 0.000
0.667 0.333 0.358
0.333 0.667 0.746

***

Run 2
GGA-PBE LiTlCo, optimized geometry; space group = Imm2; DOS at the Fermi energy = 3.3 states/eV/cell
1.0
-1.553 1.795 4.289
1.553 -1.795 4.289
1.553 1.795 -4.289
Li Tl Co
1 1 1
Direct
0.000 0.000 0.000
0.680 0.680 0.000
0.351 0.351 0.000

***

run 2 (9 meV/atom below the next structure)

***

Run 1
GGA-PBE LiTm3Co, optimized geometry; space group = P2_1/m; DOS at the Fermi energy = 9.7 states/eV/cell
1.0
6.770 0.000 0.000
0.000 4.573 0.000
-2.788 0.000 7.802
Li Tm Co
2 6 2
Direct
0.232 0.250 0.334
0.768 0.750 0.666
0.160 0.250 0.901
0.200 0.750 0.588
0.431 0.750 0.221
0.569 0.250 0.779
0.800 0.250 0.412
0.840 0.750 0.099
0.428 0.750 0.900
0.572 0.250 0.100

***

Run 2
GGA-PBE LiTm3Co, optimized geometry; space group = Pm-3m; DOS at the Fermi energy = 2.6 states/eV/cell
1.0
5.156 0.000 0.000
0.000 5.156 0.000
0.000 0.000 5.156
Li Tm Co
1 3 1
Direct
0.000 0.000 0.000
0.000 0.500 0.500
0.500 0.000 0.500
0.500 0.500 0.000
0.500 0.500 0.500

***

run 1 (14 meV/atom below the next structure)

***

Run 1
GGA-PBE Li2VCo, optimized geometry; space group = I-42d; DOS at the Fermi energy = 5.8 states/eV/cell
1.0
-3.407 3.407 2.314
3.407 -3.407 2.314
3.407 3.407 -2.314
Li V Co
4 2 2
Direct
0.103 0.625 0.978
0.375 0.353 0.478
0.647 0.125 0.022
0.875 0.897 0.522
0.250 0.750 0.500
0.500 0.500 0.000
0.000 0.000 0.000
0.750 0.250 0.500

***

Run 2
GGA-PBE Li2VCo, optimized geometry; space group = Fm-3m; DOS at the Fermi energy = 3.5 states/eV/cell
1.0
0.000 2.877 2.877
2.877 0.000 2.877
2.877 2.877 0.000
Li V Co
2 1 1
Direct
0.250 0.250 0.250
0.750 0.750 0.750
0.000 0.000 0.000
0.500 0.500 0.500

***

run 1 (10 meV/atom below the next structure)

***

Run 1
GGA-PBE LiV2Co2, optimized geometry; space group = P4/mbm; DOS at the Fermi energy = 9.1 states/eV/cell
1.0
7.059 0.000 0.000
0.000 7.059 0.000
0.000 0.000 2.553
Li V Co
2 4 4
Direct
0.000 0.000 0.000
0.500 0.500 0.000
0.152 0.348 0.000
0.348 0.848 0.000
0.652 0.152 0.000
0.848 0.652 0.000
0.142 0.642 0.500
0.358 0.142 0.500
0.642 0.858 0.500
0.858 0.358 0.500

***

Run 2
GGA-PBE LiV2Co2, optimized geometry; space group = P4/mbm; DOS at the Fermi energy = 9.1 states/eV/cell
1.0
6.953 0.000 0.000
0.000 6.953 0.000
0.000 0.000 2.615
Li V Co
2 4 4
Direct
0.000 0.000 0.000
0.500 0.500 0.000
0.158 0.342 0.500
0.342 0.842 0.500
0.658 0.158 0.500
0.842 0.658 0.500
0.137 0.637 0.000
0.363 0.137 0.000
0.637 0.863 0.000
0.863 0.363 0.000

***

run 2 (33 meV/atom below the next structure)

***

Run 1
GGA-PBE LiCoW2, optimized geometry; space group = Cmm2; DOS at the Fermi energy = 3.6 states/eV/cell
1.0
1.563 -2.168 0.000
1.563 2.168 0.000
0.000 0.000 8.719
Li Co W
1 1 2
Direct
0.000 0.000 0.000
0.500 0.500 0.237
0.000 0.000 0.465
0.500 0.500 0.726

***

Run 2
GGA-PBE LiCoW2, optimized geometry; space group = Cm; DOS at the Fermi energy = 3.1 states/eV/cell
1.0
4.387 -1.323 0.000
4.387 1.323 0.000
-0.724 0.000 4.743
Li Co W
1 1 2
Direct
0.000 0.000 0.000
0.257 0.257 0.755
0.524 0.524 0.521
0.759 0.759 0.229

***

run 1 (98 meV/atom below the next structure)

***

Run 1
GGA-PBE LiCoW2, optimized geometry; space group = I-4m2; DOS at the Fermi energy = 5.0 states/eV/cell
1.0
-1.844 1.844 4.013
1.844 -1.844 4.013
1.844 1.844 -4.013
Li Co W
1 1 2
Direct
0.000 0.000 0.000
0.750 0.250 0.500
0.250 0.750 0.500
0.500 0.500 0.000

***

Run 2
GGA-PBE LiCoW2, optimized geometry; space group = Immm; DOS at the Fermi energy = 2.5 states/eV/cell
1.0
-1.493 2.155 4.351
1.493 -2.155 4.351
1.493 2.155 -4.351
Li Co W
1 1 2
Direct
0.000 0.000 0.000
0.500 0.500 0.000
0.263 0.763 0.500
0.737 0.237 0.500

***

run 2 (130 meV/atom below the next structure)